(1)
First-principles (PBEsol) data for a geometry-optimized ReMoRu2 structure, as listed in Alexandria via LeMat-Bulk.

It has space group Pmm2 (No. 25), with a = 2.724 Å, b = 3.803 Å, c = 5.482 Å, α = 90.00°, β = 90.00° and γ = 90.00°. The distinct sites, in fractional coordinates, are Re at (0.000, 0.000, 0.000), Mo at (0.500, 0.500, 0.724), Ru at (0.000, 0.000, 0.484) and Ru at (0.500, 0.500, 0.226).

As for the relative energy among the computed polymorphs: 70 meV/atom. For the energy relative to the elements, the calculation gives 0.098 eV/atom.



(2)
First-principles (PBEsol) data for a geometry-optimized Re2MoRu structure, as listed in Alexandria via LeMat-Bulk.

It has space group P4/mmm (No. 123), with a = 2.713 Å, b = 2.713 Å, c = 7.887 Å, α = 90.00°, β = 90.00° and γ = 90.00°. The distinct sites, in fractional coordinates, are Re at (0.000, 0.000, 0.239), Mo at (0.500, 0.500, 0.500) and Ru at (0.500, 0.500, 0.000).

As for the relative energy among the computed polymorphs: 30 meV/atom. For the energy relative to the elements, the calculation gives 0.122 eV/atom.



(3)
First-principles (PBEsol) data for a geometry-optimized Re2MoRu structure, as listed in Alexandria via LeMat-Bulk.

It has space group F-43m (No. 216), with a = 6.158 Å, b = 6.158 Å, c = 6.158 Å, α = 90.00°, β = 90.00° and γ = 90.00°. The distinct sites, in fractional coordinates, are Re at (0.000, 0.000, 0.000), Re at (0.250, 0.250, 0.250), Mo at (0.000, 0.000, 0.500) and Ru at (0.250, 0.250, 0.750).

As for the relative energy among the computed polymorphs: 228 meV/atom. For the energy relative to the elements, the calculation gives 0.320 eV/atom.



(4)
First-principles (PBEsol) data for a geometry-optimized ReSb2Mo structure, as listed in Alexandria via LeMat-Bulk.

It has space group R-3m (No. 166, hexagonal axes), with a = 3.1303 Å, b = 3.1303 Å, c = 25.3374 Å, α = 90.00°, β = 90.00° and γ = 120.00°. The distinct sites, in fractional coordinates, are Re at (0.0000, 0.0000, 0.0000), Sb at (0.0000, 0.0000, 0.2514) and Mo at (0.0000, 0.0000, 0.5000).

As for the relative energy among the computed polymorphs: 0 meV/atom. The calculation puts the formation energy (no corrections) at 516 meV per atom.



(5)
First-principles (PBEsol) data for a geometry-optimized ReSbMo structure, as listed in Alexandria via LeMat-Bulk.

It has space group I4mm (No. 107), with a = 3.080 Å, b = 3.080 Å, c = 10.381 Å, α = 90.00°, β = 90.00° and γ = 90.00°. The distinct sites, in fractional coordinates, are Re at (0.000, 0.000, 0.000), Sb at (0.000, 0.000, 0.334) and Mo at (0.000, 0.000, 0.659).

The calculation puts the formation energy (no corrections) at 344 meV per atom.



(6)
First-principles (PBEsol) data for a geometry-optimized ReSb2Mo structure, as listed in Alexandria via LeMat-Bulk.

It has space group I-42d (No. 122), with a = 4.183 Å, b = 4.183 Å, c = 18.197 Å, α = 90.00°, β = 90.00° and γ = 90.00°. The distinct sites, in fractional coordinates, are Re at (0.000, 0.000, 0.000), Sb at (0.248, 0.250, 0.125) and Mo at (0.000, 0.000, 0.500).

As for the relative energy among the computed polymorphs: 378 meV/atom. The calculation puts the formation energy (no corrections) at 894 meV per atom.



(7)
First-principles (PBEsol) data for a geometry-optimized ScReMo2 structure, as listed in Alexandria via LeMat-Bulk.

It has space group Pmmm (No. 47), with a = 2.685 Å, b = 4.567 Å, c = 5.237 Å, α = 90.00°, β = 90.00° and γ = 90.00°. The distinct sites, in fractional coordinates, are Sc at (0.000, 0.000, 0.000), Re at (0.000, 0.000, 0.500) and Mo at (0.500, 0.500, 0.251).

As for the relative energy among the computed polymorphs: 310 meV/atom. For the energy relative to the elements, the calculation gives 0.271 eV/atom.



(8)
First-principles (PBEsol) data for a geometry-optimized ScRe2Mo structure, as listed in Alexandria via LeMat-Bulk.

It has space group Pm (No. 6), with a = 2.764 Å, b = 4.411 Å, c = 5.173 Å, α = 90.00°, β = 100.90° and γ = 90.00°. The distinct sites, in fractional coordinates, are Sc at (0.000, 0.000, 0.000), Re at (0.266, 0.500, 0.748), Re at (0.511, 0.000, 0.501) and Mo at (0.736, 0.500, 0.249).

For the energy relative to the elements, the calculation gives -0.014 eV/atom.



Number 1: VASP energy -11.2636 eV per atom. Number 2: VASP energy -12.0293 eV per atom. Number 3: VASP energy -11.8308 eV per atom. Number 4: VASP energy -8.0374 eV per atom. Number 5: VASP energy -9.5420 eV per atom. Number 6: VASP energy -7.6593 eV per atom. Number 7: VASP energy -10.5970 eV per atom. Number 8: VASP energy -11.2736 eV per atom.